Entry 1:
Material: NaCa2Si3HO9
Method: DFT, GGA-PBEsol
State: relaxed

Summary:
As for the crystal system: triclinic. Its total energy is -234.68 eV/cell.

```
data_NaCa2Si3HO9
_chemical_formula_sum 'Na2 Ca4 Si6 H2 O18'
_cell_length_a 7.024
_cell_length_b 7.025
_cell_length_c 7.985
_cell_angle_alpha 102.53
_cell_angle_beta 95.23
_cell_angle_gamma 90.52
_symmetry_space_group_name_H-M 'P -1'
_symmetry_Int_Tables_number 2
loop_
_symmetry_equiv_pos_as_xyz
'x,y,z'
'-x,-y,-z'
loop_
_atom_site_label
_atom_site_fract_x
_atom_site_fract_y
_atom_site_fract_z
Na1 0.158 0.241 0.448
Ca1 0.356 0.907 0.145
Ca2 0.360 0.416 0.152
Si1 0.154 0.547 0.786
Si2 0.161 0.098 0.783
Si3 0.355 0.765 0.549
H1 0.034 0.152 0.165
O1 0.042 0.999 0.185
O2 0.044 0.342 0.177
O3 0.110 0.310 0.737
O4 0.224 0.589 0.603
O5 0.227 0.967 0.599
O6 0.324 0.605 0.941
O7 0.328 0.113 0.938
O8 0.374 0.712 0.345
O9 0.445 0.204 0.329
```

Entry 2:
Material: Ca4Ni20H
Method: DFT, GGA-PBEsol
State: relaxed

Summary:
As for the crystal system: orthorhombic. Its total energy is -274.73 eV/cell.

```
data_Ca4Ni20H
_chemical_formula_sum 'Ca8 Ni40 H2'
_cell_length_a 9.635
_cell_length_b 16.939
_cell_length_c 3.885
_cell_angle_alpha 90.00
_cell_angle_beta 90.00
_cell_angle_gamma 90.00
_symmetry_space_group_name_H-M 'C m m 2'
_symmetry_Int_Tables_number 35
loop_
_symmetry_equiv_pos_as_xyz
'x,y,z'
'-x,-y,z'
'-x,y,z'
'x,-y,z'
'x+1/2,y+1/2,z'
'-x+1/2,-y+1/2,z'
'-x+1/2,y+1/2,z'
'x+1/2,-y+1/2,z'
loop_
_atom_site_label
_atom_site_fract_x
_atom_site_fract_y
_atom_site_fract_z
Ca1 0.000 0.246 0.000
Ca2 0.248 0.500 0.001
Ni1 0.000 0.000 0.500
Ni2 0.000 0.082 0.000
Ni3 0.000 0.407 0.998
Ni4 0.000 0.500 0.508
Ni5 0.125 0.124 0.500
Ni6 0.125 0.373 0.500
Ni7 0.249 0.333 0.000
Ni8 0.250 0.250 0.500
H1 0.000 0.500 0.080
```

Entry 3:
Material: Ca3HO
Method: DFT, GGA-PBEsol
State: relaxed

Summary:
As for the crystal system: cubic. Its total energy is -15.81 eV/cell.

```
data_Ca3HO
_chemical_formula_sum 'Ca3 H1 O1'
_cell_length_a 4.723
_cell_length_b 4.723
_cell_length_c 4.723
_cell_angle_alpha 90.00
_cell_angle_beta 90.00
_cell_angle_gamma 90.00
_symmetry_space_group_name_H-M 'P m -3 m'
_symmetry_Int_Tables_number 221
_symmetry_space_group_name_Hall '-P 4 2 3'
loop_
_atom_site_label
_atom_site_fract_x
_atom_site_fract_y
_atom_site_fract_z
Ca1 0.000 0.000 0.500
H1 0.000 0.000 0.000
O1 0.500 0.500 0.500
```

Entry 4:
Material: CaPH4O6
Method: DFT, GGA-PBEsol
State: relaxed

Summary:
As for the crystal system: monoclinic. Its total energy is -292.79 eV/cell.

```
data_CaPH4O6
_chemical_formula_sum 'Ca4 P4 H16 O24'
_cell_length_a 6.335
_cell_length_b 14.744
_cell_length_c 5.611
_cell_angle_alpha 90.00
_cell_angle_beta 112.68
_cell_angle_gamma 90.00
_symmetry_space_group_name_H-M 'C 1 2/c 1'
_symmetry_Int_Tables_number 15
loop_
_symmetry_equiv_pos_as_xyz
'x,y,z'
'-x,-y,-z'
'-x,y,-z+1/2'
'x,-y,z+1/2'
'x+1/2,y+1/2,z'
'-x+1/2,-y+1/2,-z'
'-x+1/2,y+1/2,-z+1/2'
'x+1/2,-y+1/2,z+1/2'
loop_
_atom_site_label
_atom_site_fract_x
_atom_site_fract_y
_atom_site_fract_z
Ca1 0.000 0.166 0.250
P1 0.000 0.339 0.750
H1 0.244 0.090 0.776
H2 0.244 0.494 0.404
O1 0.077 0.274 0.582
O2 0.209 0.396 0.913
O3 0.216 0.072 0.593
```

Entry 5:
Material: CaPHO4
Method: DFT, GGA-PBEsol
State: relaxed

Summary:
As for the crystal system: monoclinic. Its total energy is -393.06 eV/cell. The calculation puts the energy above the most stable polymorph in this dataset at 27 meV per atom.

```
data_CaPHO4
_chemical_formula_sum 'Ca8 P8 H8 O32'
_cell_length_a 9.909
_cell_length_b 6.693
_cell_length_c 11.195
_cell_angle_alpha 90.00
_cell_angle_beta 120.08
_cell_angle_gamma 90.00
_symmetry_space_group_name_H-M 'P 1 21/c 1'
_symmetry_Int_Tables_number 14
loop_
_symmetry_equiv_pos_as_xyz
'x,y,z'
'-x,-y,-z'
'-x,y+1/2,-z+1/2'
'x,-y+1/2,z+1/2'
loop_
_atom_site_label
_atom_site_fract_x
_atom_site_fract_y
_atom_site_fract_z
Ca1 0.049 0.014 0.247
Ca2 0.300 0.214 0.062
P1 0.109 0.748 0.060
P2 0.334 0.506 0.303
H1 0.368 0.133 0.365
H2 0.372 0.594 0.914
O1 0.019 0.225 0.399
O2 0.049 0.717 0.907
O3 0.188 0.551 0.618
O4 0.218 0.037 0.852
O5 0.232 0.569 0.137
O6 0.325 0.040 0.411
O7 0.409 0.187 0.790
O8 0.444 0.677 0.380
```

Entry 6:
Material: CaP2H6O7
Method: DFT, GGA-PBEsol
State: relaxed

Summary:
As for the crystal system: triclinic. Its total energy is -193.45 eV/cell.

```
data_CaP2H6O7
_chemical_formula_sum 'Ca2 P4 H12 O14'
_cell_length_a 6.723
_cell_length_b 7.019
_cell_length_c 7.961
_cell_angle_alpha 67.76
_cell_angle_beta 84.25
_cell_angle_gamma 84.15
_symmetry_space_group_name_H-M 'P -1'
_symmetry_Int_Tables_number 2
loop_
_symmetry_equiv_pos_as_xyz
'x,y,z'
'-x,-y,-z'
loop_
_atom_site_label
_atom_site_fract_x
_atom_site_fract_y
_atom_site_fract_z
Ca1 0.137 0.137 0.258
P1 0.248 0.595 0.316
P2 0.313 0.959 0.716
H1 0.089 0.395 0.862
H2 0.196 0.867 0.023
H3 0.235 0.569 0.501
H4 0.326 0.367 0.876
H5 0.359 0.161 0.689
H6 0.483 0.369 0.267
O1 0.099 0.463 0.285
O2 0.164 0.884 0.889
O3 0.190 0.958 0.567
O4 0.197 0.320 0.944
O5 0.220 0.827 0.207
O6 0.470 0.519 0.272
O7 0.488 0.172 0.258
```

Number 1: magnetic moment 0.00 μB/atom. Number 2: magnetic moment 0.29 μB/atom. Number 3: magnetic moment 0.00 μB/atom. Number 4: magnetic moment 0.09 μB/atom. Number 5: magnetic moment 0.00 μB/atom. Number 6: magnetic moment 0.00 μB/atom.